## Nd2Sm2YEr (PBE)

Data for a relaxed Nd2Sm2YEr crystal.

## Properties
E: -59.328 eV for the cell shown
calculated formation energy: 0.0561 eV/atom
Fermi-level density of states: 1.499 states/eV/atom
space-group type: Pmma, No. 51

a = 5.6986 Å, b = 7.0908 Å, c = 9.8916 Å
α = 90.00°, β = 90.00°, γ = 90.00°
Closest atoms and distances in Å follow each position.
Positions (direct):
Er 0.5000 0.7575 0.3403  5 Sm 3.25-3.55
Sm 0.5000 0.7575 0.6692  2 Nd 3.23, 3 Er 3.25-3.55
Nd 0.0000 0.7578 0.8239  5 Sm 3.23-3.55
Sm 0.5000 0.2575 0.3308  2 Nd 3.23, 3 Er 3.25-3.55
Er 0.5000 0.2575 0.6597  5 Sm 3.25-3.55
Nd 0.0000 0.2578 0.1761  5 Sm 3.23-3.55
Nd 0.5000 0.5077 0.9999  6 Nd 3.55-3.78, 6 Sm 3.72, 2 Er 3.80
Sm 0.0000 0.2577 0.8379  7 Nd 3.35-3.72, 2 Er 3.35
Nd 0.5000 0.0077 0.0001  6 Nd 3.55-3.78, 6 Sm 3.72, 2 Er 3.80
Sm 0.0000 0.7577 0.1621  7 Nd 3.35-3.72, 2 Er 3.35
Y 0.0000 0.5074 0.5001  2 Y 3.55, 2 Nd 3.66, 4 Er 3.71, 6 Sm 3.75-3.78
Y 0.0000 0.0074 0.4999  2 Y 3.55, 2 Nd 3.66, 4 Er 3.71, 6 Sm 3.75-3.78